# PBE Nd2Th3Si4, optimized geometry
data_Nd2Th3Si4
_chemical_formula_sum 'Nd4 Th6 Si8'
_space_group_name_H-M_alt 'P 1 21/c 1'
_space_group_IT_number 14
_space_group_name_Hall '-P 2ybc'
_cell_length_a 7.830
_cell_length_b 7.888
_cell_length_c 7.849
_cell_angle_alpha 90.00
_cell_angle_beta 105.14
_cell_angle_gamma 90.00
loop_
_atom_site_label
_atom_site_type_symbol
_atom_site_fract_x
_atom_site_fract_y
_atom_site_fract_z
Nd1 Nd 0.209 0.184 0.100
Th1 Th 0.240 0.682 0.254
Th2 Th 0.500 0.000 0.500
Si1 Si 0.090 0.520 0.893
Si2 Si 0.494 0.117 0.882
# Energy, eV for the cell shown: -118.74
# D(E_F), states/eV/atom: 1.026


# PBE Ho2ThRh, optimized geometry
data_Ho2ThRh
_chemical_formula_sum 'Ho6 Th3 Rh3'
_space_group_name_H-M_alt 'R -3 m'
_space_group_IT_number 166
_space_group_name_Hall '-R 3 2"'
_cell_length_a 3.6727
_cell_length_b 3.6727
_cell_length_c 28.4456
_cell_angle_alpha 90.00
_cell_angle_beta 90.00
_cell_angle_gamma 120.00
loop_
_atom_site_label
_atom_site_type_symbol
_atom_site_fract_x
_atom_site_fract_y
_atom_site_fract_z
Ho1 Ho 0.0000 0.0000 0.2282
Th1 Th 0.0000 0.0000 0.0000
Rh1 Rh 0.0000 0.0000 0.5000
# ΔE to the lowest computed polymorph, meV/atom: 219.0
# E_form, eV per atom: -0.295
# D(E_F), states/eV/atom: 1.031


# PBE BaCeRuO6, optimized geometry
data_BaCeRuO6
_chemical_formula_sum 'Ba4 Ce4 Ru4 O24'
_space_group_name_H-M_alt 'I m m a'
_space_group_IT_number 74
_space_group_name_Hall '-I 2b 2'
_cell_length_a 7.320
_cell_length_b 7.397
_cell_length_c 9.913
_cell_angle_alpha 90.00
_cell_angle_beta 90.00
_cell_angle_gamma 90.00
loop_
_atom_site_label
_atom_site_type_symbol
_atom_site_fract_x
_atom_site_fract_y
_atom_site_fract_z
Ba1 Ba 0.000 0.250 0.087
Ce1 Ce 0.000 0.000 0.500
Ru1 Ru 0.250 0.250 0.750
O1 O 0.000 0.250 0.383
O2 O 0.000 0.250 0.669
O3 O 0.208 0.068 0.881
# Energy, eV for the cell shown: -263.44
# D(E_F), states/eV/atom: 0.240


Listing total magnetization for the structures above in their given order: 0.00 0.00 2.01 μB per formula unit.